TmVIr2: optimized geometry, PBE.

Cell lengths 4.2619, 4.2619, 5.2589 Å; angles 66.10, 66.10, 60.00 degrees
With the nearest neighbours (Å) after each atom.
Atoms (fractional coordinates):
Tm: 0.0000 0.0000 0.0000  8 Ir 2.96-3.00
Ir: 0.2150 0.2150 0.3551  3 V 2.55, 3 Ir 2.81
Ir: 0.7850 0.7850 0.6449  3 V 2.55, 3 Ir 2.81
V: 0.5000 0.5000 0.5000  6 Ir 2.55

Output
Formation energy from the elements = -0.432 eV/atom



AlOsAu2: optimized geometry, PBE.

Cell lengths 4.2736, 2.8755, 5.4899 Å; angles 73.55, 90.00, 90.00 degrees
With the nearest neighbours (Å) after each atom.
Atoms (fractional coordinates):
Al: 0.5000 0.7500 0.7500  4 Au 2.61, 2 Os 2.71, 2 Al 2.88
Os: 0.5000 0.2500 0.2500  2 Al 2.71, 2 Os 2.88, 8 Au 2.91-2.92
Au: 0.0000 0.6050 0.5093  2 Al 2.61, 4 Au 2.73-2.88, 2 Os 2.91
Au: 0.0000 0.8950 0.9907  2 Al 2.61, 4 Au 2.73-2.88, 2 Os 2.91

Output
Formation energy from the elements = 0.259 eV/atom



GeH2W2: optimized geometry, PBE.

Cell lengths 3.1511, 3.1511, 5.6848 Å; angles 73.91, 73.91, 90.00 degrees
With the nearest neighbours (Å) after each atom.
Atoms (fractional coordinates):
W: 0.3542 0.3542 0.2917  4 H 1.92
Ge: 0.0000 0.0000 0.0000  8 W 2.70
H: 0.7500 0.2500 0.5000  4 W 1.92
H: 0.2500 0.7500 0.5000  4 W 1.92
W: 0.6458 0.6458 0.7083  4 H 1.92

Output
Raw total energy = -0.2647 hartree per atom



| no. | V (Å³ per atom) |
| --- | --- |
| 1 | 18.277 |
| 2 | 16.176 |
| 3 | 10.386 |